Entry 1:
## BaAl5 (PBE)

Data for an optimized crystal structure of BaAl5.

Geometry as extended XYZ:
```
6
Lattice="3.901 7.615 3.328 -4.072 -5.472 -6.145 -3.944 1.438 1.333" Properties=species:S:1:pos:R:3 pbc="T T T"
Al -1.431 -1.137 -3.007
Al 1.633 3.892 0.634
Al -2.646 0.824 -1.441
Al 3.529 7.003 2.886
Al 0.355 5.750 2.125
Ba -5.211 -3.386 -4.488
```

Summary:
space group = Amm2 (38)
ΔH_f (0 K) = 0.01 eV per atom
E_tot = -3.4289 eV per atom

***

Entry 2:
## Ba3Al (PBE)

Data for an optimized crystal structure of Ba3Al.

Geometry as extended XYZ:
```
8
Lattice="-2.844 -1.268 4.983 6.606 -1.864 3.296 0.905 7.485 2.420" Properties=species:S:1:pos:R:3 pbc="T T T"
Ba 1.230 1.615 1.113
Ba 1.317 -1.407 3.858
Ba 1.677 5.305 2.306
Ba 4.865 3.424 7.112
Ba 4.320 2.651 3.140
Ba 4.406 -0.371 5.885
Al 0.896 2.582 4.633
Al 4.741 -1.338 2.365
```

Summary:
space group = Pmmn (59)
ΔH_f (0 K) = 0.03 eV per atom
E_tot = -2.3443 eV per atom

***

Entry 3:
## Ba3Al (PBE)

Data for an optimized crystal structure of Ba3Al.

Geometry as extended XYZ:
```
16
Lattice="-5.647 4.827 2.816 2.761 -1.498 8.105 7.234 8.937 -0.813" Properties=species:S:1:pos:R:3 pbc="T T T"
Ba 3.652 4.223 7.176
Ba 1.327 7.935 7.359
Ba 0.696 8.043 2.933
Ba -0.473 5.026 10.190
Ba 3.431 11.421 2.626
Ba 4.062 11.313 7.052
Ba 0.917 0.845 7.483
Ba -0.371 4.507 5.398
Ba 0.286 0.953 3.057
Ba 3.021 4.331 2.749
Ba 4.719 7.758 4.711
Ba 4.821 7.240 -0.081
Al -0.535 4.323 1.913
Al 4.883 7.943 8.196
Al 1.087 10.756 5.347
Al 3.261 1.510 4.762
```

Summary:
space group = Pnma (62)
ΔH_f (0 K) = -0.01 eV per atom
E_tot = -2.3908 eV per atom

***

Entry 4:
## BaAl5 (PBE)

Data for an optimized crystal structure of BaAl5.

Geometry as extended XYZ:
```
6
Lattice="-5.916 -0.938 -3.914 -3.599 -1.064 -6.093 -0.569 -6.332 -0.242" Properties=species:S:1:pos:R:3 pbc="T T T"
Al -3.225 -3.626 -3.222
Al -0.834 -6.045 -0.539
Al -0.343 -2.402 -0.227
Al -4.521 -5.464 -4.496
Al -6.427 -5.043 -6.548
Ba -7.069 -1.808 -7.416
```

Summary:
space group = Cm (8)
ΔH_f (0 K) = 0.09 eV per atom
E_tot = -3.3518 eV per atom

***

Entry 5:
## Ba4Al5 (PBE)

Data for an optimized crystal structure of Ba4Al5.

Geometry as extended XYZ:
```
18
Lattice="-4.749 -2.758 2.699 4.681 -3.332 -2.103 8.189 1.466 15.907" Properties=species:S:1:pos:R:3 pbc="T T T"
Al 2.663 -2.939 1.683
Al 8.436 -0.650 10.910
Al 6.197 -1.951 12.183
Al 1.924 -2.673 4.320
Al -0.283 -1.102 5.312
Al 3.614 -2.015 11.237
Al 5.458 -1.684 14.820
Al 8.405 -3.522 11.191
Al 4.508 -2.609 5.266
Al -0.315 -3.973 5.593
Ba 6.208 -2.304 8.570
Ba -1.029 -2.846 2.217
Ba 7.012 1.255 13.622
Ba 2.851 -5.567 6.264
Ba 1.913 -2.319 7.933
Ba 9.151 -1.778 14.286
Ba 1.109 -5.879 2.881
Ba 5.271 0.944 10.239
```

Summary:
space group = P6_3/mmc (194)
ΔH_f (0 K) = -0.23 eV per atom
polymorph energy (0 for the lowest one) = 0.000 eV per formula unit
E_tot = -3.1595 eV per atom

***

Entry 6:
## BaAl (PBE)

Data for an optimized crystal structure of BaAl.

Geometry as extended XYZ:
```
32
Lattice="10.271 0.000 0.000 0.000 16.953 0.000 0.000 0.000 6.482" Properties=species:S:1:pos:R:3 pbc="T T T"
Ba 1.775 8.476 0.000
Ba 0.793 12.715 4.861
Ba 8.496 0.000 3.241
Ba 4.342 12.715 4.861
Ba 3.361 0.000 0.000
Ba 9.478 4.238 4.861
Ba 6.910 0.000 0.000
Ba 0.793 4.238 1.620
Ba 5.928 12.715 1.620
Ba 1.775 0.000 3.241
Ba 5.928 4.238 4.861
Ba 6.910 8.476 3.241
Ba 4.342 4.238 1.620
Ba 9.478 12.715 1.620
Ba 8.496 8.476 0.000
Ba 3.361 8.476 3.241
Al 7.703 2.956 1.620
Al 2.568 5.521 4.861
Al 0.000 7.194 3.241
Al 0.000 9.759 3.241
Al 7.703 11.432 4.861
Al 0.000 1.283 0.000
Al 5.135 15.670 3.241
Al 0.000 15.670 0.000
Al 5.135 9.759 0.000
Al 5.135 1.283 3.241
Al 5.135 7.194 0.000
Al 2.568 11.432 1.620
Al 7.703 13.997 4.861
Al 2.568 2.956 4.861
Al 2.568 13.997 1.620
Al 7.703 5.521 1.620
```

Summary:
space group = Fddd (70)
ΔH_f (0 K) = 0.02 eV per atom
E_tot = -2.8164 eV per atom